This record from Alexandria via LeMat-Bulk describes SrSCl2 at its PBEsol-relaxed geometry. The functional is SCAN.

```
data_SrSCl2
_space_group_name_H-M_alt 'F m -3 m'
_space_group_IT_number 225
_space_group_name_Hall '-F 4 2 3'
_cell_length_a 7.163
_cell_length_b 7.163
_cell_length_c 7.163
_cell_angle_alpha 90.00
_cell_angle_beta 90.00
_cell_angle_gamma 90.00
loop_
_atom_site_label
_atom_site_fract_x
_atom_site_fract_y
_atom_site_fract_z
_atom_site_occupancy
Sr1 0.000 0.000 0.000 1
S1 0.000 0.000 0.500 1
Cl1 0.250 0.250 0.250 1
```

Results
polymorph energy (0 for the lowest one): 0 meV per atom
formation energy from raw total energies: -1.276 eV per atom